Entry from OQMD via LeMat-Bulk: an optimized crystal structure of NbAgIr (GGA-PBE).

## Properties
- SG = No. 216
- spin magnetization (μB/f.u.) = 0.02
- crystal system = cubic
- ΔH_f (0 K) (eV per atom) = 0.299
- relative energy among the computed polymorphs (kcal/mol of atoms) = 0.000

Cell and atoms, written as POSCAR:
```
NbAgIr
1.0
-1.734 0.736 3.939
-0.470 4.092 1.449
-3.985 1.752 0.338
Nb Ir Ag
1 1 1
direct
0.750 0.750 0.750 Nb
0.000 0.000 0.000 Ir
0.250 0.250 0.250 Ag
```



Entry from OQMD via LeMat-Bulk: an optimized crystal structure of NdAgIr (GGA-PBE).

## Properties
- SG = No. 216
- spin magnetization (μB/f.u.) = 0.08
- crystal system = cubic
- ΔH_f (0 K) (eV per atom) = -0.090

Cell and atoms, written as POSCAR:
```
NdAgIr
1.0
-4.468 1.411 0.439
-1.013 3.863 2.489
-1.463 3.897 -2.195
Ag Ir Nd
1 1 1
direct
0.750 0.750 0.750 Ag
0.000 0.000 0.000 Ir
0.250 0.250 0.250 Nd
```



Entry from OQMD via LeMat-Bulk: an optimized crystal structure of Nd2AgIrO6 (GGA-PBE).

## Properties
- SG = No. 14
- spin magnetization (μB/f.u.) = 1.92
- E_tot (eV per cell) = -140.4
- crystal system = monoclinic

Cell and atoms, written as POSCAR:
```
Nd2AgIrO6
1.0
-5.514 0.192 -0.268
-0.339 -1.431 5.947
5.383 7.401 2.087
Ag O Nd Ir
2 12 4 2
direct
0.000 0.500 0.000 Ag
0.000 0.000 0.500 Ag
0.142 0.838 0.945 O
0.284 0.282 0.926 O
0.716 0.718 0.074 O
0.404 0.559 0.265 O
0.716 0.782 0.574 O
0.404 0.941 0.765 O
0.858 0.338 0.555 O
0.858 0.162 0.055 O
0.596 0.059 0.235 O
0.596 0.441 0.735 O
0.284 0.218 0.426 O
0.142 0.662 0.445 O
0.220 0.917 0.250 Nd
0.220 0.583 0.750 Nd
0.780 0.417 0.250 Nd
0.780 0.083 0.750 Nd
0.500 0.000 0.000 Ir
0.500 0.500 0.500 Ir
```



Entry from OQMD via LeMat-Bulk: an optimized crystal structure of NdSi2AgIr (GGA-PBE).

## Properties
- SG = No. 119
- spin magnetization (μB/f.u.) = 0.01
- E_tot (eV per cell) = -30.4
- crystal system = tetragonal

Cell and atoms, written as POSCAR:
```
NdSi2AgIr
1.0
-1.752 -4.900 2.777
-4.686 0.231 3.575
1.435 1.671 -5.472
Si Nd Ir Ag
2 1 1 1
direct
0.383 0.383 0.000 Si
0.617 0.617 0.000 Si
0.000 0.000 0.000 Nd
0.750 0.250 0.500 Ir
0.250 0.750 0.500 Ag
```



Entry from OQMD via LeMat-Bulk: an optimized crystal structure of NpAgIr (GGA-PBE).

## Properties
- SG = No. 216
- spin magnetization (μB/f.u.) = 3.54
- crystal system = cubic
- ΔH_f (0 K) (eV per atom) = 0.193
- relative energy among the computed polymorphs (kcal/mol of atoms) = 0.000

Cell and atoms, written as POSCAR:
```
NpAgIr
1.0
0.384 3.176 3.288
3.918 2.337 0.486
0.172 4.447 -1.115
Ag Np Ir
1 1 1
direct
0.750 0.750 0.750 Ag
0.250 0.250 0.250 Np
0.000 0.000 0.000 Ir
```



Entry from OQMD via LeMat-Bulk: an optimized crystal structure of Ag2Ir2O5 (GGA-PBE).

## Properties
- SG = No. 123
- spin magnetization (μB/f.u.) = 0.05
- crystal system = tetragonal
- relative energy among the computed polymorphs (kcal/mol of atoms) = 0.000

Cell and atoms, written as POSCAR:
```
Ag2Ir2O5
1.0
-6.487 4.152 -2.426
-0.869 -2.789 -2.448
-2.096 -1.705 2.687
O Ag Ir
5 2 2
direct
0.500 0.500 0.500 O
0.216 0.000 0.500 O
0.784 0.000 0.500 O
0.784 0.500 0.000 O
0.216 0.500 0.000 O
0.000 0.000 0.000 Ag
0.500 0.000 0.000 Ag
0.234 0.500 0.500 Ir
0.766 0.500 0.500 Ir
```



Entry from OQMD via LeMat-Bulk: an optimized crystal structure of Ag2Ir2O5 (GGA-PBE).

## Properties
- SG = No. 123
- spin magnetization (μB/f.u.) = 2.00
- crystal system = tetragonal
- relative energy among the computed polymorphs (kcal/mol of atoms) = 7.168

Cell and atoms, written as POSCAR:
```
Ag2Ir2O5
1.0
-3.915 8.713 3.587
-2.924 -1.465 0.367
0.828 -0.887 3.059
Ag Ir O
2 2 5
direct
0.719 0.500 0.500 Ag
0.281 0.500 0.500 Ag
0.000 0.000 0.000 Ir
0.500 0.000 0.000 Ir
0.115 0.000 0.500 O
0.115 0.500 0.000 O
0.885 0.500 0.000 O
0.500 0.500 0.500 O
0.885 0.000 0.500 O
```



Entry from OQMD via LeMat-Bulk: an optimized crystal structure of AgPIrO (GGA-PBE).

## Properties
- SG = No. 129
- spin magnetization (μB/f.u.) = 0.01
- crystal system = tetragonal
- relative energy among the computed polymorphs (kcal/mol of atoms) = 15.520

Cell and atoms, written as POSCAR:
```
AgPIrO
1.0
3.568 0.000 0.000
0.000 3.568 0.000
0.000 0.000 8.851
Ag Ir O P
2 2 2 2
direct
0.000 0.000 0.500 Ag
0.500 0.500 0.500 Ag
0.500 0.000 0.855 Ir
0.000 0.500 0.145 Ir
0.000 0.000 0.000 O
0.500 0.500 0.000 O
0.000 0.500 0.742 P
0.500 0.000 0.258 P
```



Entry from OQMD via LeMat-Bulk: an optimized crystal structure of AgPIrO (GGA-PBE).

## Properties
- SG = No. 26
- spin magnetization (μB/f.u.) = 0.00
- crystal system = orthorhombic
- relative energy among the computed polymorphs (kcal/mol of atoms) = 0.000

Cell and atoms, written as POSCAR:
```
AgPIrO
1.0
3.367 0.000 0.000
0.000 6.676 0.000
0.000 0.000 5.484
Ir P Ag O
2 2 2 2
direct
0.500 0.985 0.093 Ir
0.500 0.015 0.593 Ir
0.000 0.820 0.878 P
0.000 0.180 0.378 P
0.000 0.539 0.422 Ag
0.000 0.461 0.922 Ag
0.500 0.776 0.361 O
0.500 0.224 0.861 O
```



Entry from OQMD via LeMat-Bulk: an optimized crystal structure of AgPIrO (GGA-PBE).

## Properties
- SG = No. 129
- spin magnetization (μB/f.u.) = 0.01
- crystal system = tetragonal
- relative energy among the computed polymorphs (kcal/mol of atoms) = 3.393

Cell and atoms, written as POSCAR:
```
AgPIrO
1.0
4.031 0.000 0.000
0.000 4.031 0.000
0.000 0.000 7.892
O Ir Ag P
2 2 2 2
direct
0.500 0.500 0.000 O
0.000 0.000 0.000 O
0.000 0.000 0.500 Ir
0.500 0.500 0.500 Ir
0.500 0.000 0.908 Ag
0.000 0.500 0.092 Ag
0.500 0.000 0.341 P
0.000 0.500 0.659 P
```



Entry from OQMD via LeMat-Bulk: an optimized crystal structure of AgPIrO (GGA-PBE).

## Properties
- SG = No. 26
- spin magnetization (μB/f.u.) = 0.00
- crystal system = orthorhombic
- relative energy among the computed polymorphs (kcal/mol of atoms) = 3.220

Cell and atoms, written as POSCAR:
```
AgPIrO
1.0
3.842 0.000 0.000
0.000 6.034 0.000
0.000 0.000 5.801
P O Ir Ag
2 2 2 2
direct
0.000 0.645 0.850 P
0.000 0.355 0.350 P
0.500 0.777 0.418 O
0.500 0.223 0.918 O
0.000 0.294 0.972 Ir
0.000 0.706 0.472 Ir
0.500 0.156 0.513 Ag
0.500 0.844 0.013 Ag
```



Entry from OQMD via LeMat-Bulk: an optimized crystal structure of TaAg2IrO6 (GGA-PBE).

## Properties
- SG = No. 225
- spin magnetization (μB/f.u.) = 0.03
- E_tot (eV per cell) = -67.5
- crystal system = cubic

Cell and atoms, written as POSCAR:
```
TaAg2IrO6
1.0
-4.310 -3.379 0.854
-4.940 1.196 -2.212
-1.986 -3.067 -4.168
Ag Ir O Ta
2 1 6 1
direct
0.250 0.250 0.250 Ag
0.750 0.750 0.750 Ag
0.000 0.000 0.000 Ir
0.752 0.248 0.248 O
0.752 0.248 0.752 O
0.248 0.752 0.752 O
0.248 0.248 0.752 O
0.752 0.752 0.248 O
0.248 0.752 0.248 O
0.500 0.500 0.500 Ta
```



Entry from OQMD via LeMat-Bulk: an optimized crystal structure of AgTeIrO (GGA-PBE).

## Properties
- SG = No. 129
- spin magnetization (μB/f.u.) = 0.18
- crystal system = tetragonal
- relative energy among the computed polymorphs (kcal/mol of atoms) = 10.619

Cell and atoms, written as POSCAR:
```
AgTeIrO
1.0
3.733 0.000 0.000
0.000 3.733 0.000
0.000 0.000 9.755
Ag O Ir Te
2 2 2 2
direct
0.250 0.750 0.500 Ag
0.750 0.250 0.500 Ag
0.250 0.750 0.000 O
0.750 0.250 0.000 O
0.750 0.750 0.876 Ir
0.250 0.250 0.124 Ir
0.750 0.750 0.249 Te
0.250 0.250 0.751 Te
```



Entry from OQMD via LeMat-Bulk: an optimized crystal structure of AgTeIrO (GGA-PBE).

## Properties
- SG = No. 26
- spin magnetization (μB/f.u.) = 0.00
- crystal system = orthorhombic
- relative energy among the computed polymorphs (kcal/mol of atoms) = 0.000

Cell and atoms, written as POSCAR:
```
AgTeIrO
1.0
-2.340 -2.422 1.979
5.389 -2.204 3.675
-0.932 3.955 3.739
Ir O Te Ag
2 2 2 2
direct
0.500 0.001 0.437 Ir
0.500 0.999 0.937 Ir
0.500 0.775 0.686 O
0.500 0.225 0.186 O
0.000 0.186 0.686 Te
0.000 0.814 0.186 Te
0.000 0.582 0.682 Ag
0.000 0.418 0.182 Ag
```



Entry from OQMD via LeMat-Bulk: an optimized crystal structure of TlAg3IrO4 (GGA-PBE).

## Properties
- SG = No. 215
- spin magnetization (μB/f.u.) = 4.73
- E_tot (eV per cell) = -38.0
- crystal system = cubic

Cell and atoms, written as POSCAR:
```
TlAg3IrO4
1.0
5.510 0.000 0.000
0.000 5.510 0.000
0.000 0.000 5.510
Ir O Ag Tl
1 4 3 1
direct
0.500 0.500 0.500 Ir
0.723 0.277 0.723 O
0.277 0.277 0.277 O
0.277 0.723 0.723 O
0.723 0.723 0.277 O
0.000 0.500 0.500 Ag
0.500 0.000 0.500 Ag
0.500 0.500 0.000 Ag
0.000 0.000 0.000 Tl
```



Entry from OQMD via LeMat-Bulk: an optimized crystal structure of TlAgIrO3 (GGA-PBE).

## Properties
- SG = No. 62
- spin magnetization (μB/f.u.) = 0.48
- E_tot (eV per cell) = -125.8
- crystal system = orthorhombic

Cell and atoms, written as POSCAR:
```
TlAgIrO3
1.0
-0.812 -9.213 4.109
3.155 0.002 0.628
-1.958 4.550 9.814
O Tl Ir Ag
12 4 4 4
direct
0.281 0.500 0.903 O
0.813 0.500 0.910 O
0.952 0.500 0.106 O
0.048 0.000 0.894 O
0.313 0.000 0.590 O
0.687 0.500 0.410 O
0.548 0.500 0.606 O
0.719 0.000 0.097 O
0.452 0.000 0.394 O
0.187 0.000 0.090 O
0.219 0.500 0.403 O
0.781 0.000 0.597 O
0.403 0.000 0.790 Tl
0.597 0.500 0.210 Tl
0.903 0.500 0.710 Tl
0.097 0.000 0.290 Tl
0.619 0.000 0.507 Ir
0.381 0.500 0.493 Ir
0.119 0.500 0.993 Ir
0.881 0.000 0.007 Ir
0.589 0.500 0.927 Ag
0.411 0.000 0.073 Ag
0.911 0.500 0.427 Ag
0.089 0.000 0.573 Ag
```



Entry from OQMD via LeMat-Bulk: an optimized crystal structure of AgIrOs (GGA-PBE).

## Properties
- SG = No. 216
- spin magnetization (μB/f.u.) = 0.01
- crystal system = cubic
- ΔH_f (0 K) (eV per atom) = 0.893
- relative energy among the computed polymorphs (kcal/mol of atoms) = 0.000

Cell and atoms, written as POSCAR:
```
AgIrOs
1.0
0.000 2.998 2.998
2.998 0.000 2.998
2.998 2.998 0.000
Ir Ag Os
1 1 1
direct
0.000 0.000 0.000 Ir
0.250 0.250 0.250 Ag
0.750 0.750 0.750 Os
```



Entry from OQMD via LeMat-Bulk: an optimized crystal structure of Ag2IrOs (GGA-PBE).

## Properties
- SG = No. 216
- spin magnetization (μB/f.u.) = 0.69
- crystal system = cubic
- ΔH_f (0 K) (eV per atom) = 0.741

Cell and atoms, written as POSCAR:
```
Ag2IrOs
1.0
-2.053 -3.383 2.083
-4.221 -1.040 -1.049
-0.887 -3.782 -2.216
Os Ir Ag
1 1 2
direct
0.750 0.750 0.750 Os
0.500 0.500 0.500 Ir
0.000 0.000 0.000 Ag
0.250 0.250 0.250 Ag
```



Entry from OQMD via LeMat-Bulk: an optimized crystal structure of AgIr2Os (GGA-PBE).

## Properties
- SG = No. 216
- spin magnetization (μB/f.u.) = 0.68
- crystal system = cubic
- ΔH_f (0 K) (eV per atom) = 0.776

Cell and atoms, written as POSCAR:
```
AgIr2Os
1.0
0.000 3.129 3.129
3.129 0.000 3.129
3.129 3.129 0.000
Os Ir Ag
1 2 1
direct
0.750 0.750 0.750 Os
0.000 0.000 0.000 Ir
0.250 0.250 0.250 Ir
0.500 0.500 0.500 Ag
```



Entry from OQMD via LeMat-Bulk: an optimized crystal structure of AgP5Ir3 (GGA-PBE).

## Properties
- SG = No. 191
- spin magnetization (μB/f.u.) = 0.00
- E_tot (eV per cell) = -53.9
- crystal system = hexagonal

Cell and atoms, written as POSCAR:
```
AgP5Ir3
1.0
5.508 0.000 0.000
-2.754 4.770 0.000
0.000 0.000 6.531
P Ir Ag
5 3 1
direct
0.000 0.000 0.500 P
0.333 0.667 0.774 P
0.667 0.333 0.226 P
0.333 0.667 0.226 P
0.667 0.333 0.774 P
0.500 0.000 0.500 Ir
0.000 0.500 0.500 Ir
0.500 0.500 0.500 Ir
0.000 0.000 0.000 Ag
```



Entry from OQMD via LeMat-Bulk: an optimized crystal structure of PaAgIr (GGA-PBE).

## Properties
- SG = No. 216
- spin magnetization (μB/f.u.) = 0.03
- crystal system = cubic
- ΔH_f (0 K) (eV per atom) = 0.241
- relative energy among the computed polymorphs (kcal/mol of atoms) = 8.737

Cell and atoms, written as POSCAR:
```
PaAgIr
1.0
0.921 -4.085 -2.069
-2.682 -3.721 0.881
-2.867 -1.646 -3.299
Pa Ir Ag
1 1 1
direct
0.000 0.000 0.000 Pa
0.750 0.750 0.750 Ir
0.250 0.250 0.250 Ag
```



Entry from OQMD via LeMat-Bulk: an optimized crystal structure of PaAgIr (GGA-PBE).

## Properties
- SG = No. 216
- spin magnetization (μB/f.u.) = 0.02
- crystal system = cubic
- ΔH_f (0 K) (eV per atom) = -0.137
- relative energy among the computed polymorphs (kcal/mol of atoms) = 0.000

Cell and atoms, written as POSCAR:
```
PaAgIr
1.0
2.306 1.332 3.766
-2.306 1.332 3.766
0.000 -2.663 3.766
Ag Pa Ir
1 1 1
direct
0.750 0.750 0.750 Ag
0.250 0.250 0.250 Pa
0.000 0.000 0.000 Ir
```



Entry from OQMD via LeMat-Bulk: an optimized crystal structure of AgIr2Pb (GGA-PBE).

## Properties
- SG = No. 216
- spin magnetization (μB/f.u.) = 0.36
- E_tot (eV per cell) = -21.8
- crystal system = cubic

Cell and atoms, written as POSCAR:
```
AgIr2Pb
1.0
1.574 -2.316 3.705
2.079 2.294 3.462
-2.136 0.449 4.099
Ag Ir Pb
1 2 1
direct
0.250 0.250 0.250 Ag
0.750 0.750 0.750 Ir
0.000 0.000 0.000 Ir
0.500 0.500 0.500 Pb
```



Entry from OQMD via LeMat-Bulk: an optimized crystal structure of Ag2IrPb (GGA-PBE).

## Properties
- SG = No. 216
- spin magnetization (μB/f.u.) = 0.00
- E_tot (eV per cell) = -16.9
- crystal system = cubic

Cell and atoms, written as POSCAR:
```
Ag2IrPb
1.0
3.048 2.851 2.184
-0.299 0.644 4.656
3.291 -1.806 2.844
Pb Ir Ag
1 1 2
direct
0.500 0.500 0.500 Pb
0.250 0.250 0.250 Ir
0.000 0.000 0.000 Ag
0.750 0.750 0.750 Ag
```



Entry from OQMD via LeMat-Bulk: an optimized crystal structure of AgIr3Pb5 (GGA-PBE).

## Properties
- SG = No. 191
- spin magnetization (μB/f.u.) = 0.01
- E_tot (eV per cell) = -45.6
- crystal system = hexagonal

Cell and atoms, written as POSCAR:
```
AgIr3Pb5
1.0
5.689 0.000 0.000
-2.844 4.927 0.000
0.000 0.000 8.123
Ag Pb Ir
1 5 3
direct
0.000 0.000 0.000 Ag
0.333 0.667 0.210 Pb
0.333 0.667 0.790 Pb
0.000 0.000 0.500 Pb
0.667 0.333 0.790 Pb
0.667 0.333 0.210 Pb
0.000 0.500 0.500 Ir
0.500 0.500 0.500 Ir
0.500 0.000 0.500 Ir
```